# Mg2TcAg

Mg2TcAg after structural relaxation (GGA-PBE, the Alexandria database).

a = 4.5881 Å, b = 4.5881 Å, c = 4.5881 Å
α = 60.00°, β = 60.00°, γ = 60.00°
Last column: nearest neighbours and their distance in Å.
Sites, in units of the cell vectors:
Ag (0.5000, 0.5000, 0.5000)  8 Mg 2.81
Tc (0.0000, 0.0000, 0.0000)  8 Mg 2.81
Mg (0.7500, 0.7500, 0.7500)  4 Tc 2.81, 4 Ag 2.81
Mg (0.2500, 0.2500, 0.2500)  4 Ag 2.81, 4 Tc 2.81

## Properties
- Space-group type: No. 225
- Formation enthalpy at 0 K: 0.96 eV/f.u.
- Energy above the most stable polymorph in this dataset: 0.1542 eV/atom

# VInTe2N

VInTe2N after structural relaxation (GGA-PBE, the Alexandria database).

a = 5.5671 Å, b = 5.5671 Å, c = 3.6558 Å
α = 90.00°, β = 90.00°, γ = 90.00°
Last column: nearest neighbours and their distance in Å.
Sites, in units of the cell vectors:
V (0.0000, 0.0000, 0.0000)  2 N 1.83
In (0.5000, 0.5000, 0.5000)  8 Te 3.33, 2 In 3.66
Te (0.0000, 0.5000, 0.0000)  2 V 2.78
Te (0.5000, 0.0000, 0.0000)  2 V 2.78
N (0.0000, 0.0000, 0.5000)  2 V 1.83

## Properties
- Uncorrected formation energy: -0.0141 eV/atom
- Space-group type: No. 123
- Energy above the most stable polymorph in this dataset: 0.0000 eV/atom

# HOsI3

HOsI3 after structural relaxation (GGA-PBE, the Alexandria database).

a = 5.5198 Å, b = 5.5198 Å, c = 5.5198 Å
α = 90.00°, β = 90.00°, γ = 90.00°
Last column: nearest neighbours and their distance in Å.
Sites, in units of the cell vectors:
Os (0.0000, 0.0000, 0.0000)  6 I 2.76
I (0.0000, 0.0000, 0.5000)  2 Os 2.76
I (0.0000, 0.5000, 0.0000)  2 Os 2.76
I (0.5000, 0.0000, 0.0000)  2 Os 2.76
H (0.5000, 0.5000, 0.5000)  12 I 3.90

## Properties
- Space-group type: No. 221
- Energy above the most stable polymorph in this dataset: 0.0000 eV/atom

# NdZnAg2

NdZnAg2 after structural relaxation (GGA-PBE, the Alexandria database).

a = 4.5759 Å, b = 9.5539 Å, c = 9.7300 Å
α = 119.40°, β = 103.60°, γ = 90.00°
Last column: nearest neighbours and their distance in Å.
Sites, in units of the cell vectors:
Ag (0.3159, 0.9614, 0.6317)  3 Zn 2.60-2.81, 1 Ag 2.78
Ag (0.0869, 0.0869, 0.1738)  2 Zn 2.73, 1 Ag 2.84
Ag (0.6841, 0.0386, 0.3683)  3 Zn 2.60-2.81, 1 Ag 2.78
Ag (0.9131, 0.9131, 0.8262)  2 Zn 2.73, 1 Ag 2.84
Ag (0.0793, 0.5793, 0.1586)  2 Zn 2.56, 1 Ag 2.59
Ag (0.9207, 0.4207, 0.8414)  2 Zn 2.56, 1 Ag 2.59
Ag (0.6841, 0.3297, 0.3683)  3 Zn 2.60-2.81, 1 Ag 2.78
Ag (0.3159, 0.6703, 0.6317)  3 Zn 2.60-2.81, 1 Ag 2.78
Zn (0.8475, 0.1109, 0.6950)  5 Ag 2.56-2.81
Zn (0.8475, 0.5842, 0.6950)  5 Ag 2.56-2.81
Zn (0.1525, 0.8891, 0.3050)  5 Ag 2.56-2.81
Zn (0.1525, 0.4158, 0.3050)  5 Ag 2.56-2.81
Nd (0.5000, 0.2360, 0.0000)  2 Ag 3.13, 4 Zn 3.39
Nd (0.2922, 0.2922, 0.5844)  9 Ag 3.10-3.41, 6 Zn 3.34-3.40
Nd (0.7078, 0.7078, 0.4156)  9 Ag 3.10-3.41, 6 Zn 3.34-3.40
Nd (0.5000, 0.7640, 0.0000)  2 Ag 3.13, 4 Zn 3.39

## Properties
- Space-group type: No. 71
- Formation enthalpy at 0 K: -0.85 eV/f.u.

# Tb3CePm6Dy2

Tb3CePm6Dy2 after structural relaxation (GGA-PBE, the Alexandria database).

a = 6.2489 Å, b = 6.2489 Å, c = 11.9185 Å
α = 95.03°, β = 95.03°, γ = 120.01°
Last column: nearest neighbours and their distance in Å.
Sites, in units of the cell vectors:
Tb (0.8328, 0.1672, 0.5000)  6 Pm 3.60-3.61, 6 Tb 3.60-3.62
Tb (0.5000, 0.5000, 0.5000)  6 Pm 3.60-3.61, 6 Tb 3.60-3.61
Tb (0.1672, 0.8328, 0.5000)  6 Pm 3.60-3.61, 6 Tb 3.60-3.62
Pm (0.9172, 0.5857, 0.7506)  1 Ce 3.58, 6 Pm 3.59-3.62, 2 Dy 3.60, 3 Tb 3.60-3.61
Pm (0.2485, 0.2485, 0.7505)  6 Pm 3.59-3.62, 1 Ce 3.59, 2 Dy 3.59, 3 Tb 3.60-3.61
Pm (0.5857, 0.9172, 0.7506)  1 Ce 3.58, 6 Pm 3.59-3.62, 2 Dy 3.60, 3 Tb 3.60-3.61
Pm (0.0828, 0.4143, 0.2494)  1 Ce 3.58, 6 Pm 3.59-3.62, 2 Dy 3.60, 3 Tb 3.60-3.61
Pm (0.4143, 0.0828, 0.2494)  1 Ce 3.58, 6 Pm 3.59-3.62, 2 Dy 3.60, 3 Tb 3.60-3.61
Pm (0.7515, 0.7515, 0.2495)  6 Pm 3.59-3.62, 1 Ce 3.59, 2 Dy 3.59, 3 Tb 3.60-3.61
Ce (0.0000, 0.0000, 0.0000)  6 Pm 3.58-3.59, 6 Dy 3.61
Dy (0.3335, 0.6665, 0.0000)  6 Pm 3.59-3.60, 3 Dy 3.60-3.61, 3 Ce 3.61
Dy (0.6665, 0.3335, 0.0000)  6 Pm 3.59-3.60, 3 Dy 3.60-3.61, 3 Ce 3.61

## Properties
- Space-group type: No. 12
- Formation enthalpy at 0 K: 0.44 eV/f.u.

# GaTe2I

GaTe2I after structural relaxation (GGA-PBE, the Alexandria database).

a = 5.4376 Å, b = 5.4376 Å, c = 5.4376 Å
α = 60.00°, β = 60.00°, γ = 60.00°
Last column: nearest neighbours and their distance in Å.
Sites, in units of the cell vectors:
Te (0.7500, 0.7500, 0.7500)  4 I 3.33, 4 Ga 3.33
Te (0.2500, 0.2500, 0.2500)  4 I 3.33, 4 Ga 3.33
I (0.5000, 0.5000, 0.5000)  8 Te 3.33
Ga (0.0000, 0.0000, 0.0000)  8 Te 3.33

## Properties
- Uncorrected formation energy: 0.3884 eV/atom
- Space-group type: No. 225
- Energy above the most stable polymorph in this dataset: 0.6273 eV/atom

| no. | size of the total moment (Bohr magnetons per cell) |
| --- | --- |
| 1 | 1.21 |
| 2 | 0.63 |
| 3 | 3.52 |
| 4 | 0.00 |
| 5 | 1.31 |
| 6 | 0.00 |